A PBEsol-optimized structure of Sr2La4Mg2RuO12, computed with SCAN.

Values from the calculation:
ΔE_f (raw) (eV/atom): -3.106
Electronic total energy (eV/atom): -19.131
V (Å³/cell): 279
Symmetry: I4/mmm

Cell: 18.9984 18.9984 18.9984 Å, 168.37 168.37 16.47°
Last column: nearest neighbours and their distance in Å.
Sites, in units of the cell vectors:
1 Sr 0.0484 0.0484 0.0000  1 O 2.32
2 Sr 0.9516 0.9516 0.0000  1 O 2.32
3 La 0.2875 0.2875 0.0000  5 O 2.31-2.57
4 La 0.3787 0.3787 0.0000  9 O 2.47-2.75
5 La 0.6212 0.6212 0.0000  9 O 2.47-2.75
6 La 0.7125 0.7125 0.0000  5 O 2.31-2.57
7 Mg 0.1668 0.1668 0.0000  5 O 1.92-2.13
8 Mg 0.8332 0.8332 0.0000  5 O 1.92-2.13
9 Ru 0.5000 0.5000 0.0000  6 O 1.92-2.09
10 O 0.0000 0.5000 0.5000  2 Ru 1.92
11 O 0.1101 0.1101 0.0000  1 Mg 2.13, 1 Sr 2.32
12 O 0.1670 0.6670 0.5000  2 Mg 1.92
13 O 0.2260 0.2260 0.0000  1 Mg 2.23, 1 La 2.31
14 O 0.3330 0.8330 0.5000  2 Mg 1.92
15 O 0.4445 0.4445 0.0000  1 Ru 2.09
16 O 0.5000 0.0000 0.5000  2 Ru 1.92
17 O 0.5555 0.5555 0.0000  1 Ru 2.09
18 O 0.6670 0.1670 0.5000  2 Mg 1.92
19 O 0.7740 0.7740 0.0000  1 Mg 2.23, 1 La 2.31
20 O 0.8330 0.3330 0.5000  2 Mg 1.92
21 O 0.8899 0.8899 0.0000  1 Mg 2.13, 1 Sr 2.32